An optimized crystal structure of TcSb2P, computed with PBE-GGA.

The structure in POSCAR format:
```
TcSb2P
1.0
3.281 0.000 0.000
0.000 3.281 0.000
0.000 0.000 7.095
Tc Sb P
1 2 1
Direct
0.000 0.000 0.000 Tc
0.500 0.500 0.231 Sb
0.500 0.500 0.769 Sb
0.000 0.000 0.500 P
```

## Properties
VASP energy: -5.688 eV/atom
Calculated volume: 76 Å³ per cell


An optimized crystal structure of TcSb2P, computed with PBE-GGA.

The structure in POSCAR format:
```
TcSb2P
1.0
6.140 0.000 0.000
0.000 7.567 0.000
0.000 0.000 3.284
Tc Sb P
2 4 2
Direct
0.000 0.000 0.000 Tc
0.500 0.500 0.000 Tc
0.250 0.250 0.500 Sb
0.250 0.750 0.500 Sb
0.750 0.250 0.500 Sb
0.750 0.750 0.500 Sb
0.000 0.500 0.000 P
0.500 0.000 0.000 P
```

## Properties
VASP energy: -5.458 eV/atom
Calculated volume: 153 Å³ per cell


An optimized crystal structure of Tc2SbP, computed with PBE-GGA.

The structure in POSCAR format:
```
Tc2SbP
1.0
4.065 0.000 0.000
0.000 4.065 0.000
0.000 0.000 7.780
Tc Sb P
4 2 2
Direct
0.000 0.000 0.000 Tc
0.000 0.500 0.250 Tc
0.500 0.000 0.750 Tc
0.500 0.500 0.500 Tc
0.000 0.000 0.500 Sb
0.500 0.500 0.000 Sb
0.000 0.500 0.750 P
0.500 0.000 0.250 P
```

## Properties
Polymorph energy (0 for the lowest one): 586.4 meV per atom
Calculated volume: 129 Å³ per cell


An optimized crystal structure of TcSb2P, computed with PBE-GGA.

The structure in POSCAR format:
```
TcSb2P
1.0
4.415 0.000 0.000
0.000 4.891 0.000
0.000 0.000 7.997
Tc Sb P
2 4 2
Direct
0.000 0.000 0.000 Tc
0.000 0.500 0.500 Tc
0.000 0.000 0.638 Sb
0.000 0.500 0.138 Sb
0.500 0.000 0.218 Sb
0.500 0.500 0.718 Sb
0.500 0.000 0.875 P
0.500 0.500 0.375 P
```

## Properties
VASP energy: -5.912 eV/atom
Calculated volume: 173 Å³ per cell


An optimized crystal structure of TcSbP, computed with PBE-GGA.

The structure in POSCAR format:
```
TcSbP
1.0
3.069 0.000 0.000
0.000 3.069 0.000
0.000 0.000 12.174
Tc Sb P
2 2 2
Direct
0.000 0.000 0.000 Tc
0.500 0.500 0.500 Tc
0.000 0.000 0.659 Sb
0.500 0.500 0.159 Sb
0.000 0.000 0.403 P
0.500 0.500 0.903 P
```

## Properties
Polymorph energy (0 for the lowest one): 0.0 meV per atom
Calculated volume: 115 Å³ per cell


An optimized crystal structure of Tc2SbP, computed with PBE-GGA.

The structure in POSCAR format:
```
Tc2SbP
1.0
8.389 0.000 0.000
0.000 3.152 0.000
-1.615 0.000 5.081
Tc Sb P
4 2 2
Direct
0.000 0.000 0.000 Tc
0.229 0.000 0.629 Tc
0.500 0.500 0.000 Tc
0.729 0.500 0.629 Tc
0.268 0.500 0.233 Sb
0.768 0.000 0.233 Sb
0.020 0.500 0.684 P
0.520 0.000 0.684 P
```

## Properties
Polymorph energy (0 for the lowest one): 10.8 meV per atom
Calculated volume: 134 Å³ per cell


An optimized crystal structure of Tc2SbP, computed with PBE-GGA.

The structure in POSCAR format:
```
Tc2SbP
1.0
6.901 0.000 0.000
0.000 3.096 0.000
-1.731 0.000 6.400
Tc Sb P
4 2 2
Direct
0.248 0.000 0.177 Tc
0.252 0.500 0.823 Tc
0.748 0.500 0.177 Tc
0.752 0.000 0.823 Tc
0.000 0.000 0.500 Sb
0.500 0.500 0.500 Sb
0.000 0.500 0.000 P
0.500 0.000 0.000 P
```

## Properties
Polymorph energy (0 for the lowest one): 133.6 meV per atom
Calculated volume: 137 Å³ per cell


An optimized crystal structure of TcSb2P, computed with PBE-GGA.

The structure in POSCAR format:
```
TcSb2P
1.0
3.227 0.000 0.000
-1.614 2.795 0.000
0.000 0.000 27.376
Tc Sb P
3 6 3
Direct
0.000 0.000 0.000 Tc
0.333 0.667 0.667 Tc
0.667 0.333 0.333 Tc
0.000 0.000 0.257 Sb
0.000 0.000 0.475 Sb
0.333 0.667 0.142 Sb
0.333 0.667 0.923 Sb
0.667 0.333 0.590 Sb
0.667 0.333 0.809 Sb
0.000 0.000 0.722 P
0.333 0.667 0.388 P
0.667 0.333 0.055 P
```

## Properties
VASP energy: -5.953 eV/atom
Calculated volume: 247 Å³ per cell


An optimized crystal structure of TcSb3P, computed with PBE-GGA.

The structure in POSCAR format:
```
TcSb3P
1.0
5.085 0.000 0.000
0.000 5.085 0.000
0.000 0.000 5.085
Tc Sb P
1 3 1
Direct
0.000 0.000 0.000 Tc
0.000 0.500 0.500 Sb
0.500 0.000 0.500 Sb
0.500 0.500 0.000 Sb
0.500 0.500 0.500 P
```

## Properties
Polymorph energy (0 for the lowest one): 481.4 meV per atom
Calculated volume: 131 Å³ per cell


An optimized crystal structure of TcSb2P, computed with PBE-GGA.

The structure in POSCAR format:
```
TcSb2P
1.0
3.163 0.000 0.000
0.000 4.299 0.000
0.000 0.000 12.503
Tc Sb P
2 4 2
Direct
0.000 0.000 0.000 Tc
0.500 0.500 0.500 Tc
0.000 0.000 0.560 Sb
0.000 0.500 0.738 Sb
0.500 0.000 0.238 Sb
0.500 0.500 0.060 Sb
0.000 0.500 0.359 P
0.500 0.000 0.859 P
```

## Properties
VASP energy: -5.772 eV/atom
Calculated volume: 170 Å³ per cell


An optimized crystal structure of Tc2SbP, computed with PBE-GGA.

The structure in POSCAR format:
```
Tc2SbP
1.0
3.289 0.000 0.000
0.000 3.289 0.000
0.000 0.000 6.126
Tc Sb P
2 1 1
Direct
0.000 0.000 0.000 Tc
0.500 0.500 0.311 Tc
0.500 0.500 0.770 Sb
0.000 0.000 0.401 P
```

## Properties
Polymorph energy (0 for the lowest one): 170.2 meV per atom
Calculated volume: 66 Å³ per cell


An optimized crystal structure of Tc2SbP, computed with PBE-GGA.

The structure in POSCAR format:
```
Tc2SbP
1.0
5.709 0.000 0.000
0.000 5.709 0.000
0.000 0.000 10.752
Tc Sb P
8 4 4
Direct
0.200 0.250 0.125 Tc
0.250 0.700 0.375 Tc
0.250 0.800 0.875 Tc
0.300 0.250 0.625 Tc
0.700 0.750 0.625 Tc
0.750 0.200 0.875 Tc
0.750 0.300 0.375 Tc
0.800 0.750 0.125 Tc
0.000 0.000 0.500 Sb
0.000 0.500 0.750 Sb
0.500 0.000 0.250 Sb
0.500 0.500 0.000 Sb
0.000 0.000 0.000 P
0.000 0.500 0.250 P
0.500 0.000 0.750 P
0.500 0.500 0.500 P
```

## Properties
Polymorph energy (0 for the lowest one): 592.8 meV per atom
Calculated volume: 350 Å³ per cell


Repeat the third record exactly.
An optimized crystal structure of Tc2SbP, computed with PBE-GGA.

The structure in POSCAR format:
```
Tc2SbP
1.0
4.065 0.000 0.000
0.000 4.065 0.000
0.000 0.000 7.780
Tc Sb P
4 2 2
Direct
0.000 0.000 0.000 Tc
0.000 0.500 0.250 Tc
0.500 0.000 0.750 Tc
0.500 0.500 0.500 Tc
0.000 0.000 0.500 Sb
0.500 0.500 0.000 Sb
0.000 0.500 0.750 P
0.500 0.000 0.250 P
```

## Properties
Polymorph energy (0 for the lowest one): 586.4 meV per atom
Calculated volume: 129 Å³ per cell


Question: What is the formula in the tenth record?
Answer: TcSb2P


Question: The lowest calculated volume belongs to which entry?
Answer: number 11